Record 1
{"formula": "RbLaGe2C", "functional": "PBE-GGA", "state": "relaxed", "total_magnetization_mub_per_cell": 0.00, "e_form_ev_per_atom": 0.535, "total_energy_ev_per_cell": -21.680, "n_ef_per_ev_cell": 2.61, "lattice_angstrom": [[4.900, 0.000, 0.000], [0.000, 4.900, 0.000], [0.000, 0.000, 4.992]], "species": ["Rb", "La", "Ge", "Ge", "C"], "frac_coords": [[0.000, 0.000, 0.000], [0.500, 0.500, 0.000], [0.000, 0.500, 0.500], [0.500, 0.000, 0.500], [0.500, 0.500, 0.500]]}


Record 2
{"formula": "CsTl4F5", "functional": "PBE-GGA", "state": "relaxed", "total_magnetization_mub_per_cell": 0.00, "total_energy_ev_per_cell": -38.723, "e_form_raw_mev_per_atom": -1905, "n_ef_per_ev_cell": 0.00, "lattice_angstrom": [[6.816, -2.031, 0.000], [6.816, 2.031, 0.000], [-4.945, 0.000, 8.718]], "species": ["Cs", "Tl", "Tl", "Tl", "Tl", "F", "F", "F", "F", "F"], "frac_coords": [[0.000, 0.000, 0.000], [0.193, 0.193, 0.797], [0.394, 0.394, 0.585], [0.606, 0.606, 0.415], [0.807, 0.807, 0.203], [0.000, 0.000, 0.500], [0.204, 0.204, 0.321], [0.382, 0.382, 0.094], [0.618, 0.618, 0.906], [0.796, 0.796, 0.679]]}


Record 3
{"formula": "CoBr2Cl8", "functional": "PBE-GGA", "state": "relaxed", "total_magnetization_mub_per_cell": 3.05, "total_energy_ev_per_cell": -26.128, "e_form_raw_mev_per_atom": -82, "n_ef_per_ev_cell": 10.61, "lattice_angstrom": [[8.426, -4.060, 0.000], [8.426, 4.060, 0.000], [-0.496, 0.000, 6.434]], "species": ["Co", "Br", "Br", "Cl", "Cl", "Cl", "Cl", "Cl", "Cl", "Cl", "Cl"], "frac_coords": [[0.000, 0.000, 0.000], [0.342, 0.342, 0.347], [0.658, 0.658, 0.653], [0.086, 0.086, 0.773], [0.094, 0.094, 0.241], [0.282, 0.282, 0.635], [0.478, 0.478, 0.146], [0.522, 0.522, 0.854], [0.718, 0.718, 0.365], [0.906, 0.906, 0.759], [0.914, 0.914, 0.227]]}


Record 4
{"formula": "BaCrSiS2", "functional": "PBE-GGA", "state": "relaxed", "total_magnetization_mub_per_cell": 0.79, "total_energy_ev_per_cell": -20.561, "e_form_raw_mev_per_atom": 933, "n_ef_per_ev_cell": 4.32, "lattice_angstrom": [[4.780, 0.000, 0.000], [0.000, 4.780, 0.000], [0.000, 0.000, 5.672]], "species": ["Ba", "Cr", "Si", "S", "S"], "frac_coords": [[0.000, 0.000, 0.000], [0.500, 0.500, 0.000], [0.000, 0.000, 0.500], [0.000, 0.500, 0.500], [0.500, 0.000, 0.500]]}


Record 5
{"formula": "Sr4Pb2O", "functional": "PBE-GGA", "state": "relaxed", "total_magnetization_mub_per_cell": 0.00, "total_energy_ev_per_cell": -53.371, "e_form_raw_mev_per_atom": -1083, "de_polymorph_ev_per_atom": 0.014, "n_ef_per_ev_cell": 11.16, "lattice_angstrom": [[5.174, 0.000, 0.000], [0.000, 5.174, 0.000], [0.000, 0.000, 17.124]], "species": ["Sr", "Sr", "Sr", "Sr", "Sr", "Sr", "Sr", "Sr", "Pb", "Pb", "Pb", "Pb", "O", "O"], "frac_coords": [[0.000, 0.000, 0.165], [0.000, 0.000, 0.835], [0.000, 0.500, 0.000], [0.000, 0.500, 0.500], [0.500, 0.000, 0.000], [0.500, 0.000, 0.500], [0.500, 0.500, 0.335], [0.500, 0.500, 0.665], [0.000, 0.000, 0.366], [0.000, 0.000, 0.634], [0.500, 0.500, 0.134], [0.500, 0.500, 0.866], [0.000, 0.000, 0.000], [0.500, 0.500, 0.500]]}


Record 6
{"formula": "Np2ZnSn9", "functional": "PBE-GGA", "state": "relaxed", "total_magnetization_mub_per_cell": 8.22, "e_form_ev_per_atom": -0.024, "total_energy_ev_per_cell": -63.467, "n_ef_per_ev_cell": 27.23, "lattice_angstrom": [[4.597, 0.000, 0.000], [0.000, 4.597, 0.000], [0.000, 0.000, 14.428]], "species": ["Np", "Np", "Zn", "Sn", "Sn", "Sn", "Sn", "Sn", "Sn", "Sn", "Sn", "Sn"], "frac_coords": [[0.000, 0.000, 0.159], [0.000, 0.000, 0.841], [0.000, 0.000, 0.500], [0.000, 0.500, 0.000], [0.000, 0.500, 0.334], [0.000, 0.500, 0.666], [0.500, 0.000, 0.000], [0.500, 0.000, 0.334], [0.500, 0.000, 0.666], [0.500, 0.500, 0.168], [0.500, 0.500, 0.500], [0.500, 0.500, 0.832]]}


Record 7
{"formula": "HfNb2Pt", "functional": "PBE-GGA", "state": "relaxed", "total_magnetization_mub_per_cell": 0.00, "e_form_ev_per_atom": 0.044, "total_energy_ev_per_cell": -143.829, "de_polymorph_ev_per_atom": 0.245, "n_ef_per_ev_cell": 16.02, "lattice_angstrom": [[7.742, 0.000, 0.000], [0.000, 7.742, 0.000], [0.000, 0.000, 5.327]], "species": ["Hf", "Hf", "Hf", "Hf", "Nb", "Nb", "Nb", "Nb", "Nb", "Nb", "Nb", "Nb", "Pt", "Pt", "Pt", "Pt"], "frac_coords": [[0.000, 0.000, 0.000], [0.000, 0.500, 0.250], [0.500, 0.000, 0.750], [0.500, 0.500, 0.500], [0.219, 0.750, 0.625], [0.250, 0.219, 0.375], [0.250, 0.281, 0.875], [0.281, 0.750, 0.125], [0.719, 0.250, 0.125], [0.750, 0.719, 0.875], [0.750, 0.781, 0.375], [0.781, 0.250, 0.625], [0.000, 0.000, 0.500], [0.000, 0.500, 0.750], [0.500, 0.000, 0.250], [0.500, 0.500, 0.000]]}


Record 8
{"formula": "NaCeH", "functional": "PBE-GGA", "state": "relaxed", "total_magnetization_mub_per_cell": 3.92, "total_energy_ev_per_cell": -44.232, "n_ef_per_ev_cell": 23.23, "lattice_angstrom": [[4.820, 0.000, 0.000], [0.000, 4.820, 0.000], [-0.014, 0.000, 11.669]], "species": ["Na", "Na", "Na", "Na", "Ce", "Ce", "Ce", "Ce", "H", "H", "H", "H"], "frac_coords": [[0.248, 0.000, 0.125], [0.252, 0.500, 0.875], [0.748, 0.500, 0.125], [0.752, 0.000, 0.875], [0.249, 0.500, 0.386], [0.251, 0.000, 0.614], [0.749, 0.000, 0.386], [0.751, 0.500, 0.614], [0.249, 0.000, 0.414], [0.251, 0.500, 0.586], [0.749, 0.500, 0.414], [0.751, 0.000, 0.586]]}


Record 9
{"formula": "CaFe2Pt", "functional": "PBE-GGA", "state": "relaxed", "total_magnetization_mub_per_cell": 5.23, "e_form_ev_per_atom": -0.007, "total_energy_ev_per_cell": -24.998, "n_ef_per_ev_cell": 3.71, "lattice_angstrom": [[3.100, 0.000, 0.000], [0.000, 3.100, 0.000], [0.000, 0.000, 6.937]], "species": ["Ca", "Fe", "Fe", "Pt"], "frac_coords": [[0.000, 0.000, 0.000], [0.000, 0.000, 0.473], [0.500, 0.500, 0.317], [0.500, 0.500, 0.707]]}


Record 10
{"formula": "Re2SbSe", "functional": "PBE-GGA", "state": "relaxed", "total_magnetization_mub_per_cell": 0.00, "total_energy_ev_per_cell": -31.770, "e_form_raw_mev_per_atom": 183, "de_polymorph_ev_per_atom": 0.000, "n_ef_per_ev_cell": 3.24, "lattice_angstrom": [[2.985, 0.000, 0.000], [0.000, 2.985, 0.000], [0.000, 0.000, 8.774]], "species": ["Re", "Re", "Sb", "Se"], "frac_coords": [[0.000, 0.000, 0.000], [0.500, 0.500, 0.198], [0.000, 0.000, 0.424], [0.500, 0.500, 0.816]]}


Record 11
{"formula": "Ba2AgHg2", "functional": "PBE-GGA", "state": "relaxed", "total_magnetization_mub_per_cell": 0.00, "e_form_ev_per_atom": -0.275, "total_energy_ev_per_cell": -17.349, "de_polymorph_ev_per_atom": 0.148, "n_ef_per_ev_cell": 9.47, "lattice_angstrom": [[4.389, 0.000, 0.000], [0.000, 4.389, 0.000], [0.000, 0.000, 19.079]], "species": ["Ba", "Ba", "Ba", "Ba", "Ag", "Ag", "Hg", "Hg", "Hg", "Hg"], "frac_coords": [[0.000, 0.000, 0.102], [0.000, 0.000, 0.898], [0.500, 0.500, 0.398], [0.500, 0.500, 0.602], [0.000, 0.000, 0.500], [0.500, 0.500, 0.000], [0.000, 0.500, 0.250], [0.000, 0.500, 0.750], [0.500, 0.000, 0.250], [0.500, 0.000, 0.750]]}


Record 12
{"formula": "ZrInAu4", "functional": "PBE-GGA", "state": "relaxed", "total_magnetization_mub_per_cell": 0.00, "e_form_ev_per_atom": -0.101, "total_energy_ev_per_cell": -50.000, "de_polymorph_ev_per_atom": 0.284, "n_ef_per_ev_cell": 5.03, "lattice_angstrom": [[6.553, 0.000, 0.000], [0.000, 6.554, 0.000], [-0.011, 0.000, 6.459]], "species": ["Zr", "Zr", "In", "In", "Au", "Au", "Au", "Au", "Au", "Au", "Au", "Au"], "frac_coords": [[0.000, 0.000, 0.000], [0.500, 0.500, 0.000], [0.000, 0.500, 0.500], [0.500, 0.000, 0.500], [0.250, 0.250, 0.249], [0.250, 0.250, 0.751], [0.250, 0.750, 0.249], [0.250, 0.750, 0.751], [0.750, 0.250, 0.249], [0.750, 0.250, 0.751], [0.750, 0.750, 0.249], [0.750, 0.750, 0.751]]}


Record 13
{"formula": "Sm12DyHo2", "functional": "PBE-GGA", "state": "relaxed", "total_magnetization_mub_per_cell": 0.00, "e_form_ev_per_atom": 0.163, "total_energy_ev_per_cell": -135.895, "n_ef_per_ev_cell": 46.09, "lattice_angstrom": [[3.572, -5.747, 0.000], [3.572, 5.747, 0.000], [0.000, 0.000, 24.768]], "species": ["Sm", "Sm", "Sm", "Sm", "Sm", "Sm", "Sm", "Sm", "Sm", "Sm", "Sm", "Sm", "Sm", "Sm", "Sm", "Sm", "Sm", "Sm", "Sm", "Sm", "Sm", "Sm", "Sm", "Sm", "Dy", "Dy", "Ho", "Ho", "Ho", "Ho"], "frac_coords": [[0.001, 0.501, 0.129], [0.001, 0.999, 0.925], [0.018, 0.518, 0.586], [0.023, 0.977, 0.440], [0.250, 0.250, 0.199], [0.250, 0.250, 0.325], [0.250, 0.250, 0.675], [0.250, 0.250, 0.801], [0.477, 0.523, 0.440], [0.482, 0.982, 0.586], [0.499, 0.501, 0.925], [0.499, 0.999, 0.129], [0.501, 0.001, 0.871], [0.501, 0.499, 0.075], [0.518, 0.018, 0.414], [0.523, 0.477, 0.560], [0.750, 0.750, 0.199], [0.750, 0.750, 0.325], [0.750, 0.750, 0.675], [0.750, 0.750, 0.801], [0.977, 0.023, 0.560], [0.982, 0.482, 0.414], [0.999, 0.001, 0.075], [0.999, 0.499, 0.871], [0.250, 0.750, 0.001], [0.750, 0.250, 0.999], [0.250, 0.750, 0.270], [0.250, 0.750, 0.734], [0.750, 0.250, 0.266], [0.750, 0.250, 0.730]]}


Record 14
{"formula": "NaTb2ThSe4", "functional": "PBE-GGA", "state": "relaxed", "total_magnetization_mub_per_cell": 0.00, "total_energy_ev_per_cell": -45.183, "e_form_raw_mev_per_atom": -1656, "n_ef_per_ev_cell": 4.85, "lattice_angstrom": [[7.174, 0.000, 0.000], [0.000, 4.101, 0.000], [-2.317, 0.000, 6.865]], "species": ["Na", "Tb", "Tb", "Th", "Se", "Se", "Se", "Se"], "frac_coords": [[0.000, 0.000, 0.000], [0.500, 0.000, 0.500], [0.500, 0.500, 0.000], [0.000, 0.500, 0.500], [0.256, 0.000, 0.759], [0.257, 0.500, 0.251], [0.743, 0.500, 0.749], [0.744, 0.000, 0.241]]}


Record 15
{"formula": "NiMo2Se", "functional": "PBE-GGA", "state": "relaxed", "total_magnetization_mub_per_cell": 0.00, "total_energy_ev_per_cell": -88.981, "e_form_raw_mev_per_atom": 317, "n_ef_per_ev_cell": 12.85, "lattice_angstrom": [[2.912, 0.000, 0.000], [-1.456, 2.521, 0.000], [0.000, 0.000, 24.559]], "species": ["Ni", "Ni", "Ni", "Mo", "Mo", "Mo", "Mo", "Mo", "Mo", "Se", "Se", "Se"], "frac_coords": [[0.000, 0.000, 0.000], [0.333, 0.667, 0.667], [0.667, 0.333, 0.333], [0.000, 0.000, 0.250], [0.000, 0.000, 0.750], [0.333, 0.667, 0.417], [0.333, 0.667, 0.917], [0.667, 0.333, 0.083], [0.667, 0.333, 0.583], [0.000, 0.000, 0.500], [0.333, 0.667, 0.167], [0.667, 0.333, 0.833]]}


Record 16
{"formula": "Be2VGaPd", "functional": "PBE-GGA", "state": "relaxed", "total_magnetization_mub_per_cell": 0.00, "e_form_ev_per_atom": 0.810, "total_energy_ev_per_cell": -20.739, "n_ef_per_ev_cell": 3.00, "lattice_angstrom": [[4.062, 0.000, 0.000], [0.000, 4.062, 0.000], [0.000, 0.000, 4.590]], "species": ["Be", "Be", "V", "Ga", "Pd"], "frac_coords": [[0.000, 0.500, 0.000], [0.500, 0.000, 0.000], [0.000, 0.000, 0.500], [0.000, 0.000, 0.000], [0.500, 0.500, 0.500]]}


Record 17
{"formula": "DyInRh", "functional": "PBE-GGA", "state": "relaxed", "total_magnetization_mub_per_cell": 0.00, "e_form_ev_per_atom": -0.740, "total_energy_ev_per_cell": -101.469, "n_ef_per_ev_cell": 10.21, "lattice_angstrom": [[13.090, 0.000, 0.000], [0.000, 3.828, 0.000], [0.000, 0.000, 7.770]], "species": ["Dy", "Dy", "Dy", "Dy", "Dy", "Dy", "In", "In", "In", "In", "In", "In", "Rh", "Rh", "Rh", "Rh", "Rh", "Rh"], "frac_coords": [[0.046, 0.000, 0.219], [0.250, 0.000, 0.838], [0.454, 0.000, 0.219], [0.546, 0.000, 0.781], [0.750, 0.000, 0.162], [0.954, 0.000, 0.781], [0.115, 0.500, 0.568], [0.250, 0.500, 0.192], [0.385, 0.500, 0.568], [0.615, 0.500, 0.432], [0.750, 0.500, 0.808], [0.885, 0.500, 0.432], [0.100, 0.500, 0.937], [0.250, 0.000, 0.447], [0.400, 0.500, 0.937], [0.600, 0.500, 0.063], [0.750, 0.000, 0.553], [0.900, 0.500, 0.063]]}


Record 18
{"formula": "Tb5ScGa4", "functional": "PBE-GGA", "state": "relaxed", "total_magnetization_mub_per_cell": 0.00, "e_form_ev_per_atom": -0.364, "total_energy_ev_per_cell": -45.226, "n_ef_per_ev_cell": 10.27, "lattice_angstrom": [[7.969, -2.068, 0.000], [7.969, 2.068, 0.000], [-1.640, 0.000, 7.842]], "species": ["Tb", "Tb", "Tb", "Tb", "Tb", "Sc", "Ga", "Ga", "Ga", "Ga"], "frac_coords": [[0.000, 0.000, 0.000], [0.323, 0.323, 0.921], [0.331, 0.331, 0.381], [0.669, 0.669, 0.619], [0.677, 0.677, 0.079], [0.000, 0.000, 0.500], [0.139, 0.139, 0.333], [0.478, 0.478, 0.730], [0.522, 0.522, 0.270], [0.861, 0.861, 0.667]]}


Record 19
{"formula": "Tl2RhBr", "functional": "PBE-GGA", "state": "relaxed", "total_magnetization_mub_per_cell": 0.00, "total_energy_ev_per_cell": -28.064, "e_form_raw_mev_per_atom": -69, "de_polymorph_ev_per_atom": 0.000, "n_ef_per_ev_cell": 1.95, "lattice_angstrom": [[16.476, 0.000, 0.000], [0.000, 3.487, 0.000], [-0.024, 0.000, 3.767]], "species": ["Tl", "Tl", "Tl", "Tl", "Rh", "Rh", "Br", "Br"], "frac_coords": [[0.000, 0.000, 0.000], [0.203, 0.000, 0.503], [0.500, 0.500, 0.000], [0.703, 0.500, 0.503], [0.141, 0.500, 0.001], [0.641, 0.000, 0.001], [0.382, 0.000, 0.497], [0.882, 0.500, 0.497]]}


Record 20
{"formula": "HoLuCdCo", "functional": "PBE-GGA", "state": "relaxed", "total_magnetization_mub_per_cell": 2.29, "e_form_ev_per_atom": -0.165, "total_energy_ev_per_cell": -71.122, "n_ef_per_ev_cell": 9.14, "lattice_angstrom": [[7.019, 0.000, 0.000], [0.000, 7.019, 0.000], [0.000, 0.000, 7.019]], "species": ["Ho", "Ho", "Ho", "Ho", "Lu", "Lu", "Lu", "Lu", "Cd", "Cd", "Cd", "Cd", "Co", "Co", "Co", "Co"], "frac_coords": [[0.000, 0.000, 0.000], [0.000, 0.500, 0.500], [0.500, 0.000, 0.500], [0.500, 0.500, 0.000], [0.000, 0.000, 0.500], [0.000, 0.500, 0.000], [0.500, 0.000, 0.000], [0.500, 0.500, 0.500], [0.250, 0.250, 0.250], [0.250, 0.750, 0.750], [0.750, 0.250, 0.750], [0.750, 0.750, 0.250], [0.250, 0.250, 0.750], [0.250, 0.750, 0.250], [0.750, 0.250, 0.250], [0.750, 0.750, 0.750]]}